[1]
## GaB3F (GGA-PBE)

Data for an optimized crystal structure of GaB3F.

```
GaB3F
1.0
4.169 0.000 0.000
0.000 4.169 0.000
0.000 0.000 4.169
Ga B F
1 3 1
Cartesian
0.000 0.000 0.000
0.000 0.000 2.085
0.000 2.085 0.000
2.085 0.000 0.000
2.085 2.085 2.085
```


[2]
## InCo2Pt (GGA-PBE)

Data for an optimized crystal structure of InCo2Pt.

Output
The energy of formation from the pure elements comes out at 1.5 kJ/mol of atoms.

```
InCo2Pt
1.0
-1.952 1.952 3.797
1.952 -1.952 3.797
1.952 1.952 -3.797
In Co Pt
1 2 1
Cartesian
0.000 0.000 0.000
1.952 0.000 1.899
0.000 1.952 1.899
0.000 0.000 3.797
```


[3]
## SiAgWS2 (GGA-PBE)

Data for an optimized crystal structure of SiAgWS2.

```
SiAgWS2
1.0
4.544 0.000 0.000
0.000 4.544 0.000
0.000 0.000 4.736
Si Ag W S
1 1 1 2
Cartesian
0.000 0.000 0.000
0.000 0.000 2.368
2.272 2.272 2.368
0.000 2.272 0.000
2.272 0.000 0.000
```


[4]
## Be3BiO (GGA-PBE)

Data for an optimized crystal structure of Be3BiO.

```
Be3BiO
1.0
4.710 0.000 0.000
0.000 4.710 0.000
0.000 0.000 4.710
Be Bi O
3 1 1
Cartesian
0.000 0.000 2.355
0.000 2.355 0.000
2.355 0.000 0.000
0.000 0.000 0.000
2.355 2.355 2.355
```


[5]
## Tb2PrHfN4 (GGA-PBE)

Data for an optimized crystal structure of Tb2PrHfN4.

```
Tb2PrHfN4
1.0
5.975 0.000 0.000
0.000 3.452 0.000
-1.984 0.000 5.703
Tb Pr Hf N
2 1 1 4
Cartesian
0.000 0.000 0.000
-0.992 1.726 2.851
1.996 0.000 2.851
2.987 1.726 0.000
1.075 1.726 1.291
0.049 0.000 4.414
3.942 0.000 1.289
2.916 1.726 4.412
```


[6]
## Tb3In5O12 (GGA-PBE)

Data for an optimized crystal structure of Tb3In5O12.

```
Tb3In5O12
1.0
-6.581 6.581 6.581
6.581 -6.581 6.581
6.581 6.581 -6.581
Tb In O
12 20 48
Cartesian
3.290 1.645 0.000
6.581 3.290 -1.645
1.645 0.000 3.290
8.226 0.000 3.290
0.000 3.290 1.645
3.290 -1.645 6.581
3.290 8.226 0.000
6.581 3.290 4.936
-1.645 6.581 3.290
4.936 6.581 3.290
0.000 3.290 8.226
3.290 4.936 6.581
0.000 0.000 0.000
3.290 3.290 -3.290
3.290 -3.290 3.290
6.581 0.000 0.000
9.871 1.645 0.000
6.581 -3.290 4.936
4.936 6.581 -3.290
4.936 0.000 3.290
3.290 4.936 0.000
6.581 3.290 1.645
-3.290 3.290 3.290
0.000 6.581 0.000
0.000 0.000 6.581
3.290 3.290 3.290
0.000 3.290 4.936
3.290 1.645 6.581
1.645 6.581 3.290
1.645 0.000 9.871
0.000 9.871 1.645
-3.290 4.936 6.581
2.010 -0.267 0.841
7.861 4.131 -3.557
8.591 0.267 0.841
7.861 -2.450 3.557
6.314 -0.841 2.010
10.138 -1.280 2.450
0.841 2.010 -0.267
9.030 3.023 -1.280
4.131 3.557 -1.280
5.740 2.010 0.267
-0.267 0.841 2.010
3.557 -1.280 4.131
6.314 5.740 -2.010
3.557 1.280 2.450
4.131 -3.557 7.861
5.740 -2.010 6.314
2.450 3.557 1.280
7.422 4.571 0.267
3.557 7.861 -2.450
6.314 0.841 4.571
2.010 6.314 -0.841
7.861 2.450 3.023
1.280 2.450 3.557
2.010 0.267 5.740
4.571 6.314 0.841
5.301 4.131 3.023
-1.280 4.131 3.557
4.571 0.267 7.422
0.267 5.740 2.010
3.023 -1.280 9.030
-0.841 2.010 6.314
4.131 3.023 5.301
0.841 8.591 0.267
2.450 10.138 -1.280
3.023 5.301 4.131
0.267 0.841 8.591
3.023 7.861 2.450
6.848 5.740 4.571
0.841 4.571 6.314
2.450 3.023 7.861
-2.450 3.557 7.861
5.740 4.571 6.848
-3.557 7.861 4.131
0.267 7.422 4.571
-1.280 9.030 3.023
-2.010 6.314 5.740
-1.280 2.450 10.138
4.571 6.848 5.740
```


[7]
## Na2Y3HoSe6 (GGA-PBE)

Data for an optimized crystal structure of Na2Y3HoSe6.

```
Na2Y3HoSe6
1.0
3.555 -6.150 0.000
3.555 6.150 0.000
-2.362 0.000 6.774
Na Y Ho Se
2 3 1 6
Cartesian
3.555 4.111 0.000
3.555 -4.111 0.000
-1.181 0.000 3.387
2.374 2.084 3.387
2.374 -2.084 3.387
3.555 0.000 0.000
0.025 2.017 5.069
1.231 0.000 1.731
0.025 -2.017 5.069
4.723 2.017 1.705
3.517 0.000 5.043
4.723 -2.017 1.705
```


[8]
## Tb2Rh2O7 (GGA-PBE)

Data for an optimized crystal structure of Tb2Rh2O7.

```
Tb2Rh2O7
1.0
0.000 5.124 5.124
5.124 0.000 5.124
5.124 5.124 0.000
Tb Rh O
4 4 14
Cartesian
0.000 0.000 0.000
2.562 2.562 0.000
2.562 0.000 2.562
0.000 2.562 2.562
5.124 2.562 2.562
2.562 5.124 2.562
2.562 2.562 5.124
5.124 5.124 5.124
1.281 1.281 1.281
3.843 3.843 1.677
3.843 1.677 3.843
6.009 3.843 3.843
6.405 6.405 4.239
6.405 4.239 6.405
8.571 6.405 6.405
1.677 3.843 3.843
3.843 6.009 3.843
3.843 3.843 6.009
4.239 6.405 6.405
6.405 8.571 6.405
6.405 6.405 8.571
8.967 8.967 8.967
```


[9]
## Ti2NO (GGA-PBE)

Data for an optimized crystal structure of Ti2NO.

```
Ti2NO
1.0
-2.308 2.308 4.610
2.308 -2.308 4.610
2.308 2.308 -4.610
Ti N O
4 2 2
Cartesian
3.461 1.121 -1.152
1.121 1.154 1.152
-1.154 1.186 3.457
1.186 1.154 5.762
0.000 0.000 0.000
0.000 2.308 2.305
2.308 0.000 2.305
0.000 0.000 4.610
```


[10]
## Y8Co2Ir (GGA-PBE)

Data for an optimized crystal structure of Y8Co2Ir.

Output
The energy of formation from the pure elements comes out at -16.9 kJ/mol of atoms.

```
Y8Co2Ir
1.0
4.085 -6.176 0.000
4.085 6.176 0.000
-1.906 0.000 5.736
Y Co Ir
8 2 1
Cartesian
0.000 0.000 0.000
0.074 1.637 3.402
2.583 2.641 1.063
0.074 -1.637 3.402
3.109 1.631 4.514
2.583 -2.641 1.063
3.109 -1.631 4.514
5.168 0.000 2.123
1.590 3.847 3.923
1.590 -3.847 3.923
2.941 0.000 0.087
```


[11]
## ZrReRu2 (GGA-PBE)

Data for an optimized crystal structure of ZrReRu2.

Output
The energy of formation from the pure elements comes out at -6.0 kJ/mol of atoms.

```
ZrReRu2
1.0
2.955 0.000 0.000
0.000 4.537 0.000
-0.038 0.000 4.741
Zr Re Ru
1 1 2
Cartesian
0.000 0.000 0.000
2.878 2.269 2.001
1.440 0.000 2.448
1.445 2.269 4.429
```


no.,final energy (eV per atom)
1,-3.3087
2,-5.7324
3,-4.6088
4,-2.3700
5,-8.7299
6,-6.5888
7,-5.6841
8,-7.3987
9,-9.1061
10,-6.9736
11,-9.9487